Entry from Alexandria: an optimized crystal structure of Cd5Rh6Pb (PBE).

a b c (Å): 7.944 7.944 7.944
angles (deg): 146.52 131.58 60.15
Element x y z (fractional)
Cd 0.000 0.000 0.000
Cd 0.166 0.666 0.500
Cd 0.326 0.326 0.000
Cd 0.674 0.674 0.000
Cd 0.834 0.334 0.500
Rh 0.090 0.836 0.254
Rh 0.257 0.500 0.757
Rh 0.418 0.164 0.254
Rh 0.582 0.836 0.746
Rh 0.743 0.500 0.243
Rh 0.910 0.164 0.746
Pb 0.500 0.000 0.500

Properties
* formation enthalpy at 0 K: -0.108 eV per atom
* symmetry: Immm
* crystal system: orthorhombic



Entry from Alexandria: an optimized crystal structure of CdRhPb2 (PBE).

a b c (Å): 6.952 6.952 6.952
angles (deg): 98.66 98.66 134.32
Element x y z (fractional)
Cd 0.000 0.000 0.000
Cd 0.750 0.250 0.500
Rh 0.250 0.750 0.500
Rh 0.500 0.500 0.000
Pb 0.229 0.625 0.104
Pb 0.375 0.479 0.604
Pb 0.521 0.125 0.896
Pb 0.875 0.771 0.396

Properties
* formation enthalpy at 0 K: 0.081 eV per atom
* symmetry: I-42d
* crystal system: tetragonal



Entry from Alexandria: an optimized crystal structure of Cd2RhPb (PBE).

a b c (Å): 6.589 6.589 6.589
angles (deg): 99.56 99.56 131.91
Element x y z (fractional)
Cd 0.057 0.625 0.932
Cd 0.375 0.307 0.432
Cd 0.693 0.125 0.068
Cd 0.875 0.943 0.568
Rh 0.000 0.000 0.000
Rh 0.750 0.250 0.500
Pb 0.250 0.750 0.500
Pb 0.500 0.500 0.000

Properties
* formation enthalpy at 0 K: 0.139 eV per atom
* symmetry: I-42d
* crystal system: tetragonal



Entry from Alexandria: an optimized crystal structure of Cd2RhPb (PBE).

a b c (Å): 7.086 7.086 7.086
angles (deg): 154.50 142.02 46.31
Element x y z (fractional)
Cd 0.000 0.000 0.000
Cd 0.667 0.167 0.500
Rh 0.490 0.490 0.000
Pb 0.309 0.809 0.500

Properties
* formation enthalpy at 0 K: -0.054 eV per atom
* symmetry: Imm2
* crystal system: orthorhombic



Question: What is the formula in the second record?
Answer: CdRhPb2



Question: Which value of formation enthalpy at 0 K does entry 3 give?
Answer: 0.139 eV per atom



Question: What is the formula in the second record?
Answer: CdRhPb2



Question: formation enthalpy at 0 K of number 1 (Cd5Rh6Pb)?
Answer: -0.108 eV per atom